CaSiSe, optimized geometry, DFT GGA-PBE; raw formation energy = -27.3 kJ/mol of formula units; uncorrected energy = -3.731 eV/atom; ΔE to the lowest computed polymorph = 0.4317 eV per atom
1.0
-2.1181 -3.0948 -3.0781
2.2489 -1.2514 -4.1129
1.7685 -4.4868 -0.5294
Ca Se Si
1 1 1
Cartesian
1.4245 -6.6248 -5.7903
0.0000 0.0000 0.0000
0.9497 -4.4165 -3.8602